Below is an optimized crystal structure of In2SnI2Br2, with properties calculated at the GGA-PBE level.

Properties
Formation energy (no corrections): -573 meV per atom
D(E_F): 0.000 states/eV/f.u.
Energy: -2.8485 eV/atom

Structure (CIF):
```
data_In2SnI2Br2
_space_group_name_H-M_alt 'C 1 2/m 1'
_space_group_IT_number 12
_space_group_name_Hall '-C 2y'
_cell_length_a 16.203
_cell_length_b 4.436
_cell_length_c 8.300
_cell_angle_alpha 90.00
_cell_angle_beta 113.18
_cell_angle_gamma 90.00
loop_
_atom_site_label
_atom_site_type_symbol
_atom_site_fract_x
_atom_site_fract_y
_atom_site_fract_z
_atom_site_occupancy
In1 In 0.129 0.000 0.063 1
Sn1 Sn 0.000 0.000 0.500 1
I1 I 0.210 0.000 0.741 1
Br1 Br 0.020 0.500 0.269 1
```